(i)
# Y3Th2

A relaxed Y3Th2 crystal (PBE, the Alexandria database).

a b c (Å): 3.583 3.583 14.697
angles (deg): 83.00 83.00 60.00
Fractional positions:
1 Y 0.901 0.901 0.297
2 Y 0.099 0.099 0.703
3 Th 0.301 0.301 0.097
4 Y 0.500 0.500 0.500
5 Th 0.699 0.699 0.903

Results
For the magnetization, the calculation gives 0.00 μB/cell. The symmetry is R-3m (166).

(ii)
# Y3Th2

A relaxed Y3Th2 crystal (PBE, the Alexandria database).

a b c (Å): 6.314 6.314 9.679
angles (deg): 111.95 111.95 81.60
Fractional positions:
1 Th 0.307 0.639 0.108
2 Y 0.099 0.099 0.000
3 Y 0.753 0.618 0.808
4 Th 0.449 0.281 0.392
5 Y 0.810 0.945 0.192
6 Y 0.868 0.503 0.308
7 Y 0.349 0.849 0.500
8 Th 0.531 0.199 0.892
9 Th 0.889 0.057 0.608
10 Y 0.195 0.560 0.692

Results
For the magnetization, the calculation gives 0.00 μB/cell. The symmetry is Fdd2 (43).

The structure with the greatest stability is (i).

(i)
# YTh2

A relaxed YTh2 crystal (PBE, the Alexandria database).

a b c (Å): 3.575 3.575 8.010
angles (deg): 102.89 102.89 90.00
Fractional positions:
1 Y 0.000 0.000 0.000
2 Th 0.669 0.669 0.338
3 Th 0.331 0.331 0.662

Results
For the magnetization, the calculation gives 0.00 μB/cell. The symmetry is I4/mmm (139).

(ii)
# YTh2

A relaxed YTh2 crystal (PBE, the Alexandria database).

a b c (Å): 4.996 3.608 6.198
angles (deg): 106.91 113.77 90.00
Fractional positions:
1 Th 0.330 0.830 0.661
2 Y 0.000 0.500 0.000
3 Th 0.670 0.170 0.339

Results
For the magnetization, the calculation gives 0.00 μB/cell. The symmetry is Immm (71).

(iii)
# YTh2

A relaxed YTh2 crystal (PBE, the Alexandria database).

a b c (Å): 3.581 3.581 8.737
angles (deg): 90.01 90.01 59.99
Fractional positions:
1 Th 0.333 0.333 0.338
2 Th 0.667 0.667 0.662
3 Y 0.000 0.000 0.000

Results
For the magnetization, the calculation gives 0.00 μB/cell. The symmetry is P-3m1 (164).

(iv)
# YTh2

A relaxed YTh2 crystal (PBE, the Alexandria database).

a b c (Å): 6.633 6.633 6.633
angles (deg): 60.00 60.00 60.00
Fractional positions:
1 Th 0.125 0.625 0.625
2 Th 0.625 0.625 0.125
3 Y 0.000 0.000 0.000
4 Y 0.250 0.250 0.250
5 Th 0.625 0.625 0.625
6 Th 0.625 0.125 0.625

Results
For the magnetization, the calculation gives 0.00 μB/cell. The symmetry is Fd-3m (227).

The structure with the greatest stability is (iii).

(i)
# YTh

A relaxed YTh crystal (PBE, the Alexandria database).

a b c (Å): 6.172 6.172 6.172
angles (deg): 33.58 33.58 33.58
Fractional positions:
1 Th 0.000 0.000 0.000
2 Y 0.500 0.500 0.500

Results
For the magnetization, the calculation gives 0.00 μB/cell. The symmetry is R-3m (166).

(ii)
# YTh

A relaxed YTh crystal (PBE, the Alexandria database).

a b c (Å): 3.599 3.599 11.732
angles (deg): 81.17 81.17 60.00
Fractional positions:
1 Y 0.124 0.124 0.627
2 Y 0.876 0.876 0.373
3 Th 0.292 0.292 0.123
4 Th 0.708 0.708 0.877

Results
For the magnetization, the calculation gives 0.00 μB/cell. The symmetry is R-3m (166).

The structure with the greatest stability is (ii).

(i)
# YTh

A relaxed YTh crystal (PBE, the Alexandria database).

a b c (Å): 3.564 3.564 5.891
angles (deg): 90.00 90.00 120.00
Fractional positions:
1 Y 0.000 0.000 0.000
2 Th 0.333 0.667 0.500

Results
For the magnetization, the calculation gives 0.00 μB/cell. The symmetry is P-6m2 (187).

(ii)
# YTh

A relaxed YTh crystal (PBE, the Alexandria database).

a b c (Å): 6.816 3.593 7.193
angles (deg): 60.03 75.15 105.27
Fractional positions:
1 Y 0.250 0.585 0.540
2 Y 0.750 0.415 0.460
3 Th 0.250 0.581 0.045
4 Th 0.750 0.419 0.955

Results
For the magnetization, the calculation gives 0.00 μB/cell. The symmetry is C2/m (12).

The structure with the greatest stability is (ii).

(i)
# Y5Th

A relaxed Y5Th crystal (PBE, the Alexandria database).

a b c (Å): 3.586 3.586 17.428
angles (deg): 90.00 90.00 120.00
Fractional positions:
1 Y 0.667 0.333 0.333
2 Y 0.333 0.667 0.667
3 Y 0.333 0.667 0.163
4 Y 0.667 0.333 0.837
5 Th 0.000 0.000 0.000
6 Y 0.000 0.000 0.500

Results
For the magnetization, the calculation gives 0.00 μB/cell. The symmetry is P-3m1 (164).

(ii)
# Y5Th

A relaxed Y5Th crystal (PBE, the Alexandria database).

a b c (Å): 5.070 5.063 7.990
angles (deg): 108.47 90.00 90.00
Fractional positions:
1 Y 0.000 0.335 0.670
2 Th 0.000 0.000 0.000
3 Y 0.500 0.163 0.327
4 Y 0.000 0.665 0.330
5 Y 0.500 0.500 0.000
6 Y 0.500 0.837 0.673

Results
For the magnetization, the calculation gives 0.00 μB/cell. The symmetry is Cmmm (65).

The structure with the greatest stability is (i).

(i)
# Y8Th3

A relaxed Y8Th3 crystal (PBE, the Alexandria database).

a b c (Å): 7.280 7.280 7.280
angles (deg): 84.33 84.33 84.33
Fractional positions:
1 Y 0.164 0.874 0.291
2 Th 0.500 0.500 0.000
3 Y 0.874 0.291 0.164
4 Th 0.500 0.000 0.500
5 Y 0.291 0.164 0.874
6 Y 0.385 0.385 0.385
7 Y 0.126 0.709 0.836
8 Th 0.000 0.500 0.500
9 Y 0.836 0.126 0.709
10 Y 0.615 0.615 0.615
11 Y 0.709 0.836 0.126

Results
For the magnetization, the calculation gives 0.00 μB/cell. The symmetry is R-3 (148).

(ii)
# Y8Th3

A relaxed Y8Th3 crystal (PBE, the Alexandria database).

a b c (Å): 7.836 7.836 7.836
angles (deg): 108.43 108.43 108.43
Fractional positions:
1 Y 0.994 0.313 0.830
2 Y 0.313 0.830 0.994
3 Y 0.742 0.742 0.742
4 Y 0.170 0.006 0.687
5 Th 0.000 0.500 0.500
6 Y 0.006 0.687 0.170
7 Th 0.500 0.500 0.000
8 Y 0.830 0.994 0.313
9 Y 0.258 0.258 0.258
10 Th 0.500 0.000 0.500
11 Y 0.687 0.170 0.006

Results
For the magnetization, the calculation gives 0.00 μB/cell. The symmetry is R-3 (148).

The structure with the greatest stability is (ii).

(i)
# Y2Th

A relaxed Y2Th crystal (PBE, the Alexandria database).

a b c (Å): 3.608 3.608 8.823
angles (deg): 78.20 78.20 60.00
Fractional positions:
1 Y 0.776 0.776 0.672
2 Th 0.000 0.000 0.000
3 Y 0.224 0.224 0.328

Results
For the magnetization, the calculation gives 0.00 μB/cell. The symmetry is R-3m (166).

(ii)
# Y2Th

A relaxed Y2Th crystal (PBE, the Alexandria database).

a b c (Å): 6.522 6.522 6.522
angles (deg): 60.00 60.00 60.00
Fractional positions:
1 Y 0.125 0.625 0.625
2 Y 0.625 0.625 0.625
3 Y 0.625 0.625 0.125
4 Th 0.000 0.000 0.000
5 Y 0.625 0.125 0.625
6 Th 0.250 0.250 0.250

Results
For the magnetization, the calculation gives 0.10 μB/cell. The symmetry is Fd-3m (227).

The structure with the greatest stability is (i).

(i)
# YThZn

A relaxed YThZn crystal (PBE, the Alexandria database).

a b c (Å): 3.672 5.071 5.071
angles (deg): 120.00 90.00 90.00
Fractional positions:
1 Zn 0.407 0.333 0.667
2 Th 0.029 0.000 0.000
3 Y 0.564 0.667 0.333

Results
For the magnetization, the calculation gives 0.00 μB/cell. The symmetry is P3m1 (156).

(ii)
# YThZn

A relaxed YThZn crystal (PBE, the Alexandria database).

a b c (Å): 3.585 5.299 8.690
angles (deg): 90.00 101.90 90.00
Fractional positions:
1 Zn 0.567 0.750 0.135
2 Th 0.777 0.250 0.554
3 Y 0.923 0.750 0.847
4 Zn 0.433 0.250 0.865
5 Y 0.077 0.250 0.153
6 Th 0.223 0.750 0.446

Results
For the magnetization, the calculation gives 0.00 μB/cell. The symmetry is Cmcm (63).

The structure with the greatest stability is (ii).

(i)
# Y2ThZn

A relaxed Y2ThZn crystal (PBE, the Alexandria database).

a b c (Å): 3.602 3.602 10.421
angles (deg): 80.05 80.05 60.00
Fractional positions:
1 Y 0.260 0.260 0.219
2 Zn 0.000 0.000 0.000
3 Th 0.500 0.500 0.500
4 Y 0.740 0.740 0.781

Results
For the magnetization, the calculation gives 0.00 μB/cell. The symmetry is R-3m (166).

(ii)
# Y2ThZn

A relaxed Y2ThZn crystal (PBE, the Alexandria database).

a b c (Å): 3.591 3.591 10.564
angles (deg): 80.21 80.21 60.00
Fractional positions:
1 Zn 0.666 0.666 0.001
2 Y 0.071 0.071 0.786
3 Th 0.501 0.501 0.498
4 Y 0.262 0.262 0.214

Results
For the magnetization, the calculation gives 0.00 μB/cell. The symmetry is R3m (160).

The structure with the greatest stability is (i).

(i)
# Y2ThZn

A relaxed Y2ThZn crystal (PBE, the Alexandria database).

a b c (Å): 3.571 3.571 8.604
angles (deg): 90.00 90.00 90.00
Fractional positions:
1 Th 0.500 0.500 0.500
2 Zn 0.500 0.500 0.000
3 Y 0.000 0.000 0.210
4 Y 0.000 0.000 0.790

Results
For the magnetization, the calculation gives 0.00 μB/cell. The symmetry is P4/mmm (123).

(ii)
# Y2ThZn

A relaxed Y2ThZn crystal (PBE, the Alexandria database).

a b c (Å): 4.833 4.784 4.784
angles (deg): 90.00 90.00 90.00
Fractional positions:
1 Y 0.000 0.000 0.500
2 Y 0.000 0.500 0.000
3 Zn 0.500 0.000 0.000
4 Th 0.500 0.500 0.500

Results
For the magnetization, the calculation gives 0.00 μB/cell. The symmetry is P4/mmm (123).

The structure with the greatest stability is (i).

(i)
# YThZn2

A relaxed YThZn2 crystal (PBE, the Alexandria database).

a b c (Å): 5.136 5.136 5.136
angles (deg): 60.00 60.00 60.00
Fractional positions:
1 Zn 0.750 0.750 0.750
2 Y 0.500 0.500 0.500
3 Th 0.000 0.000 0.000
4 Zn 0.250 0.250 0.250

Results
For the magnetization, the calculation gives 0.00 μB/cell. The symmetry is Fm-3m (225).

(ii)
# YThZn2

A relaxed YThZn2 crystal (PBE, the Alexandria database).

a b c (Å): 3.584 3.584 7.396
angles (deg): 90.00 90.00 90.00
Fractional positions:
1 Zn 0.000 0.000 0.267
2 Y 0.500 0.500 0.500
3 Th 0.500 0.500 0.000
4 Zn 0.000 0.000 0.733

Results
For the magnetization, the calculation gives 0.00 μB/cell. The symmetry is P4/mmm (123).

The structure with the greatest stability is (ii).

(i)
# YThZn4

A relaxed YThZn4 crystal (PBE, the Alexandria database).

a b c (Å): 4.156 4.156 8.129
angles (deg): 104.81 104.81 90.00
Fractional positions:
1 Zn 0.581 0.581 0.162
2 Zn 0.419 0.419 0.838
3 Zn 0.667 0.167 0.333
4 Y 0.000 0.000 0.000
5 Zn 0.833 0.333 0.667
6 Th 0.250 0.750 0.500

Results
For the magnetization, the calculation gives 0.00 μB/cell. The symmetry is I-4m2 (119).

(ii)
# YThZn4

A relaxed YThZn4 crystal (PBE, the Alexandria database).

a b c (Å): 5.525 5.525 5.525
angles (deg): 60.00 60.00 60.00
Fractional positions:
1 Zn 0.128 0.624 0.624
2 Zn 0.624 0.128 0.624
3 Y 0.250 0.250 0.250
4 Zn 0.624 0.624 0.624
5 Zn 0.624 0.624 0.128
6 Th 0.000 0.000 0.000

Results
For the magnetization, the calculation gives 0.00 μB/cell. The symmetry is F-43m (216).

The structure with the greatest stability is (ii).